(1)
Density functional theory data (PBE) for a relaxed structure of KIrCl.

a b c (Å): 9.1798 4.1635 13.0785
angles (deg): 90.00 133.82 90.00
With the nearest neighbours (Å) after each atom.
Sites, in units of the cell vectors:
Cl: 0.8197 0.0000 0.2486  1 Ir 2.42
Cl: 0.1803 0.0000 0.7514  1 Ir 2.42
Cl: 0.1803 0.5000 0.2514  1 Ir 2.42
Cl: 0.8197 0.5000 0.7486  1 Ir 2.42
Ir: 0.4328 0.0000 0.7409  2 Ir 2.35, 1 Cl 2.42
Ir: 0.5672 0.0000 0.2591  2 Ir 2.35, 1 Cl 2.42
Ir: 0.4328 0.5000 0.2409  2 Ir 2.35, 1 Cl 2.42
Ir: 0.5672 0.5000 0.7591  2 Ir 2.35, 1 Cl 2.42
K: 0.0000 0.5000 0.5000  4 Cl 3.22, 4 Ir 3.57
K: 0.0000 0.0000 0.0000  4 Cl 3.22, 4 Ir 3.57
K: 0.5000 0.5000 0.0000  4 Cl 3.21
K: 0.5000 0.0000 0.5000  4 Cl 3.21

For the formation energy without anion corrections, the calculation gives -0.420 eV per atom. The total energy is -0.16004 Ha/atom. As for the space-group type: C2/m (12).

(2)
Density functional theory data (PBE) for a relaxed structure of K2IrCl.

a b c (Å): 6.0396 2.8685 6.0403
angles (deg): 89.96 90.00 90.00
With the nearest neighbours (Å) after each atom.
Sites, in units of the cell vectors:
Ir: 0.5000 0.6260 0.8748  2 Ir 2.87
K: 0.0000 0.1245 0.8752  2 K 2.87
K: 0.5000 0.1254 0.3749  2 K 2.87
Cl: 0.0000 0.6240 0.3750  2 Cl 2.87

For the formation energy without anion corrections, the calculation gives -0.006 eV per atom. The total energy is -0.11877 Ha/atom. As for the space-group type: P4mm (99).